Compound: Li4Mn3Cr2Sn3O16
Source: Alexandria
Functional: PBE+U
Structure: relaxed

a = 6.075 Å, b = 6.075 Å, c = 9.665 Å
α = 89.95°, β = 89.95°, γ = 61.19°
Last column: magnetic moment on the atom in μB.
Element x y z (fractional)
Li (0.676, 0.676, 0.886)  0.00
Li (0.990, 0.990, 0.992)  0.00
Li (0.979, 0.979, 0.500)  0.00
Li (0.332, 0.332, 0.398)  0.00
Mn (0.832, 0.832, 0.213)  3.92
Mn (0.658, 0.173, 0.715)  3.70
Mn (0.173, 0.658, 0.715)  3.70
Cr (0.665, 0.665, 0.490)  3.03
Cr (0.343, 0.343, 0.982)  3.03
Sn (0.833, 0.340, 0.214)  0.02
Sn (0.340, 0.833, 0.214)  0.02
Sn (0.167, 0.167, 0.710)  0.04
O (0.828, 0.316, 0.598)  -0.06
O (0.516, 0.516, 0.344)  -0.02
O (0.679, 0.679, 0.101)  -0.04
O (0.991, 0.991, 0.313)  -0.04
O (0.991, 0.991, 0.807)  -0.07
O (0.316, 0.828, 0.598)  -0.06
O (0.959, 0.518, 0.351)  -0.03
O (0.518, 0.959, 0.351)  -0.03
O (0.166, 0.166, 0.096)  -0.01
O (0.826, 0.826, 0.608)  -0.12
O (0.486, 0.048, 0.840)  -0.09
O (0.048, 0.486, 0.840)  -0.09
O (0.339, 0.339, 0.604)  -0.06
O (0.673, 0.171, 0.094)  -0.01
O (0.486, 0.486, 0.840)  -0.10
O (0.171, 0.673, 0.094)  -0.01

Values from the calculation:
DOS(E_F) (states/eV per cell): 2.36
Space group: Cm
Total energy (eV per formula unit): -185.018